Entry 1:
DFT (PBE-GGA) results for an optimized crystal structure of PrEr3S6.

Values from the calculation:
Formation energy (no corrections) ... -2090 meV per atom
Space group ... P2_1/m, No. 11
Calculated volume ... 23.5 Å³/atom

abc: 3.9772 11.0395 11.3103
angles: 71.19 90.00 90.00
Positions (direct):
Pr1 0.7500 0.5495 0.8046
Pr2 0.2500 0.4505 0.1954
Er1 0.7500 0.1798 0.9985
Er2 0.2500 0.8202 0.0015
Er3 0.7500 0.9420 0.6672
Er4 0.2500 0.0580 0.3328
Er5 0.7500 0.6611 0.4128
Er6 0.2500 0.3389 0.5872
S1 0.7500 0.9778 0.8887
S2 0.2500 0.0222 0.1113
S3 0.7500 0.3024 0.7487
S4 0.2500 0.6976 0.2513
S5 0.7500 0.8944 0.4418
S6 0.2500 0.1056 0.5582
S7 0.7500 0.4178 0.4071
S8 0.2500 0.5822 0.5929
S9 0.7500 0.2336 0.2284
S10 0.2500 0.7664 0.7716
S11 0.7500 0.6195 0.0365
S12 0.2500 0.3805 0.9635

=====

Entry 2:
DFT (PBE-GGA) results for an optimized crystal structure of Pr3ErS4.

Values from the calculation:
Formation energy (no corrections) ... -1997 meV per atom
DOS(E_F) ... 4.362 states/eV/cell
Space group ... Cmmm, No. 65
Calculated volume ... 23.5 Å³/atom
Energy relative to the lowest polymorph listed for this composition ... 4.4 meV/atom

abc: 3.9924 7.0479 7.0479
angles: 108.76 90.00 90.00
Positions (direct):
Pr1 0.0000 0.0000 0.5000
Pr2 0.5000 0.5000 0.5000
Pr3 0.0000 0.5000 0.0000
Er1 0.5000 0.0000 0.0000
S1 0.0000 0.2336 0.2336
S2 0.5000 0.7584 0.2416
S3 0.0000 0.7664 0.7664
S4 0.5000 0.2416 0.7584

=====

Entry 3:
DFT (PBE-GGA) results for an optimized crystal structure of PrErS3.

Values from the calculation:
Formation energy (no corrections) ... -2079 meV per atom
Space group ... P2_1/m, No. 11
Calculated volume ... 23.3 Å³/atom
Energy relative to the lowest polymorph listed for this composition ... 0.0 meV/atom

abc: 3.9756 11.0602 21.6039
angles: 78.51 90.00 90.00
Positions (direct):
Pr1 0.2500 0.3044 0.7667
Pr2 0.7500 0.6956 0.2333
Pr3 0.2500 0.9101 0.8634
Pr4 0.7500 0.0899 0.1366
Pr5 0.2500 0.6926 0.7333
Pr6 0.7500 0.3074 0.2667
Pr7 0.2500 0.7984 0.5372
Pr8 0.7500 0.2016 0.4628
Er1 0.2500 0.5534 0.4164
Er2 0.7500 0.4466 0.5836
Er3 0.2500 0.9694 0.3513
Er4 0.7500 0.0306 0.6487
Er5 0.2500 0.8202 0.0459
Er6 0.7500 0.1798 0.9541
Er7 0.2500 0.4772 0.0875
Er8 0.7500 0.5228 0.9125
S1 0.2500 0.0844 0.0371
S2 0.7500 0.9156 0.9629
S3 0.2500 0.2046 0.3650
S4 0.7500 0.7954 0.6350
S5 0.2500 0.7453 0.3227
S6 0.7500 0.2547 0.6773
S7 0.2500 0.6366 0.9642
S8 0.7500 0.3634 0.0358
S9 0.2500 0.5045 0.2194
S10 0.7500 0.4955 0.7806
S11 0.2500 0.2514 0.1734
S12 0.7500 0.7486 0.8266
S13 0.2500 0.8739 0.1631
S14 0.7500 0.1261 0.8369
S15 0.2500 0.3559 0.5141
S16 0.7500 0.6441 0.4859
S17 0.2500 0.0583 0.5553
S18 0.7500 0.9417 0.4447
S19 0.2500 0.9626 0.7289
S20 0.7500 0.0374 0.2711
S21 0.2500 0.5470 0.6344
S22 0.7500 0.4530 0.3656
S23 0.2500 0.3422 0.9014
S24 0.7500 0.6578 0.0986

=====

Entry 4:
DFT (PBE-GGA) results for an optimized crystal structure of Pr3ErS.

Values from the calculation:
Formation energy (no corrections) ... -655 meV per atom
DOS(E_F) ... 5.485 states/eV/cell
Space group ... Pm-3m, No. 221
Calculated volume ... 33.9 Å³/atom

abc: 5.5330 5.5330 5.5330
angles: 90.00 90.00 90.00
Positions (direct):
Pr1 0.0000 0.5000 0.0000
Pr2 0.0000 0.0000 0.5000
Pr3 0.5000 0.0000 0.0000
S1 0.0000 0.0000 0.0000
Er1 0.5000 0.5000 0.5000

=====

In order of appearance, density = 5.9 6.4 5.8 6.1 Mg/m³.